## Sc5Tl6Hg (PBE)

Data for an optimized crystal structure of Sc5Tl6Hg.

Computed properties:
Its total magnetic moment is 0.0 Bohr magnetons per cell. The calculated total energy is -48.608 eV/cell.

The structure in POSCAR format:
```
Sc5Tl6Hg
1.0
4.503 -0.004 -1.262
-3.248 7.445 -2.947
-0.007 -0.144 8.639
Sc Tl Hg
5 6 1
Cartesian
0.624 3.648 2.215 Sc
1.787 0.927 6.371 Sc
-2.199 4.989 0.803 Sc
-0.538 6.370 -1.941 Sc
-1.056 2.312 4.890 Sc
2.590 1.976 0.570 Tl
-0.233 3.200 -0.843 Tl
0.367 6.708 1.287 Tl
-1.342 5.321 3.860 Tl
1.482 4.097 5.273 Tl
0.882 0.589 3.143 Tl
0.000 0.000 0.000 Hg
```